[1]
Tb2GaGe4Pt3: optimized geometry, GGA-PBE.

a = 4.1644 Å, b = 4.1644 Å, c = 10.9113 Å
α = 90.00°, β = 90.00°, γ = 90.00°
Last column: nearest neighbours and their distance in Å.
Element x y z (fractional)
Ge  0.0000  0.0000  0.0000  4 Pt 2.55
Ge  0.5000  0.0000  0.6424  3 Pt 2.43-2.60, 2 Ga 2.60
Ge  0.5000  0.5000  0.0000  4 Pt 2.55
Ge  0.0000  0.5000  0.3576  3 Pt 2.43-2.60, 2 Ga 2.60
Pt  0.0000  0.5000  0.1349  5 Ge 2.43-2.55
Pt  0.5000  0.0000  0.8651  5 Ge 2.43-2.55
Pt  0.0000  0.0000  0.5000  4 Ge 2.60
Ga  0.5000  0.5000  0.5000  4 Ge 2.60
Tb  0.0000  0.5000  0.7441  8 Ge 3.15-3.48, 6 Pt 3.23-3.38, 2 Ga 3.38
Tb  0.5000  0.0000  0.2559  8 Ge 3.15-3.48, 6 Pt 3.23-3.38, 2 Ga 3.38

Properties
- final energy (eV/cell) = -56.82
- Fermi-level density of states (states/eV per atom) = 0.3055
- spin magnetization (μB/f.u.) = 0.000
- formation energy from the elements (meV per atom) = -793.9


[2]
Sm6MgAl: optimized geometry, GGA-PBE.

a = 5.5746 Å, b = 5.5746 Å, c = 7.7117 Å
α = 90.00°, β = 90.00°, γ = 90.00°
Last column: nearest neighbours and their distance in Å.
Element x y z (fractional)
Sm  0.5000  0.0000  0.2384  2 Al 3.34, 5 Sm 3.34-3.68, 2 Mg 3.44
Sm  0.0000  0.5000  0.7616  2 Al 3.34, 5 Sm 3.34-3.68, 2 Mg 3.44
Sm  0.5000  0.0000  0.7616  2 Al 3.34, 5 Sm 3.34-3.68, 2 Mg 3.44
Sm  0.0000  0.5000  0.2384  2 Al 3.34, 5 Sm 3.34-3.68, 2 Mg 3.44
Sm  0.5000  0.5000  0.0000  8 Sm 3.34
Sm  0.5000  0.5000  0.5000  8 Sm 3.44
Al  0.0000  0.0000  0.0000  8 Sm 3.34
Mg  0.0000  0.0000  0.5000  8 Sm 3.44

Properties
- final energy (eV/cell) = -33.74
- Fermi-level density of states (states/eV per atom) = 1.2604
- spin magnetization (μB/f.u.) = 0.000
- formation energy from the elements (meV per atom) = -10.9